(1)
Compound: K8SnSb4
Source: Alexandria
Functional: PBEsol
Structure: relaxed

Cell lengths 11.4359, 11.4359, 11.4359 Å; angles 60.00, 60.00, 60.00 degrees
Sites, in units of the cell vectors:
K 0.0000 0.0000 0.0000
K 0.0000 0.0000 0.5000
K 0.0000 0.5000 0.0000
K 0.1482 0.1482 0.6018
K 0.1482 0.6018 0.1482
K 0.1482 0.6018 0.6018
K 0.3982 0.3982 0.8518
K 0.3982 0.8518 0.3982
K 0.3982 0.8518 0.8518
K 0.5000 0.0000 0.0000
K 0.6018 0.1482 0.1482
K 0.6018 0.1482 0.6018
K 0.6018 0.6018 0.1482
K 0.8518 0.3982 0.3982
K 0.8518 0.3982 0.8518
K 0.8518 0.8518 0.3982
Sn 0.1250 0.1250 0.1250
Sn 0.8750 0.8750 0.8750
Sb 0.1850 0.7717 0.7717
Sb 0.2283 0.2283 0.2283
Sb 0.2283 0.2283 0.8150
Sb 0.2283 0.8150 0.2283
Sb 0.7717 0.1850 0.7717
Sb 0.7717 0.7717 0.1850
Sb 0.7717 0.7717 0.7717
Sb 0.8150 0.2283 0.2283


(2)
Compound: KSnSb
Source: Alexandria
Functional: PBEsol
Structure: relaxed

Cell lengths 4.3526, 4.3526, 12.9945 Å; angles 90.00, 90.00, 120.00 degrees
Sites, in units of the cell vectors:
K 0.3333 0.6667 0.0000
K 0.6667 0.3333 0.5000
Sn 0.0000 0.0000 0.2006
Sn 0.0000 0.0000 0.7006
Sb 0.3333 0.6667 0.3111
Sb 0.6667 0.3333 0.8111


(3)
Compound: K2SnSbTe
Source: Alexandria
Functional: PBEsol
Structure: relaxed

Cell lengths 6.5965, 6.5965, 5.5903 Å; angles 90.00, 90.00, 90.00 degrees
Sites, in units of the cell vectors:
K 0.0000 0.5000 0.0000
K 0.5000 0.0000 0.0000
Sn 0.0000 0.0000 0.5000
Sb 0.5000 0.5000 0.0000
Te 0.5000 0.5000 0.5000


(4)
Compound: KSrSb2
Source: Alexandria
Functional: PBEsol
Structure: relaxed

Cell lengths 5.6599, 5.6599, 5.6599 Å; angles 60.00, 60.00, 60.00 degrees
Sites, in units of the cell vectors:
K 0.0000 0.0000 0.0000
Sr 0.5000 0.5000 0.5000
Sb 0.2500 0.2500 0.2500
Sb 0.7500 0.7500 0.7500


Summary of raw formation energy in meV per atom
-443 -324 292 -463
(order as listed above)
Summary of M_tot in μB/cell
0.0 0.0 2.4 0.0
(order as listed above)